[1]
Below is a PBEsol-optimized structure of CaLa2MnO6, with properties calculated at the SCAN level.

ΔE_f (raw)	-32.51	eV/f.u.

a b c (Å): 5.5537 5.5537 5.5537
angles (deg): 62.50 62.50 62.50
Last column: nearest neighbours and their distance in Å.
Positions (direct):
O (0.6814, 0.2114, 0.8616)  1 Mn 1.90
O (0.8616, 0.6814, 0.2114)  1 Mn 1.90
O (0.1384, 0.3186, 0.7886)  1 Mn 1.90
Ca (0.5000, 0.5000, 0.5000)  6 O 2.24
O (0.2114, 0.8616, 0.6814)  1 Mn 1.90
O (0.3186, 0.7886, 0.1384)  1 Mn 1.90
La (0.7594, 0.7594, 0.7594)  6 O 2.37-2.63
Mn (0.0000, 0.0000, 0.0000)  6 O 1.90
La (0.2406, 0.2406, 0.2406)  6 O 2.37-2.63
O (0.7886, 0.1384, 0.3186)  1 Mn 1.90

[2]
Below is a PBEsol-optimized structure of Ca3LaMn4O12, with properties calculated at the SCAN level.

ΔE_f (raw)	-56.22	eV/f.u.

a b c (Å): 5.3068 5.3238 7.4961
angles (deg): 90.00 90.00 89.93
Last column: nearest neighbours and their distance in Å.
Positions (direct):
Mn (0.4999, 0.0009, 0.7449)  6 O 1.88-1.94
O (0.7167, 0.2836, 0.2105)  2 Mn 1.92
La (0.9960, 0.0256, 0.0000)  8 O 2.39-2.62
Ca (0.5072, 0.5361, 0.0000)  6 O 2.34-2.57
Ca (0.0073, 0.9609, 0.5000)  8 O 2.33-2.59
O (0.2824, 0.7179, 0.7123)  2 Mn 1.91
Mn (0.9998, 0.4998, 0.2544)  6 O 1.88-1.94
O (0.9273, 0.5092, 0.5000)  2 Mn 1.88
Mn (0.9998, 0.4998, 0.7456)  6 O 1.88-1.94
O (0.7811, 0.7816, 0.2214)  2 Mn 1.91
O (0.7167, 0.2836, 0.7895)  2 Mn 1.92
O (0.2120, 0.2130, 0.7154)  2 Mn 1.91
O (0.7811, 0.7816, 0.7786)  2 Mn 1.91
Mn (0.4999, 0.0009, 0.2551)  6 O 1.88-1.94
O (0.4453, 0.9853, 0.0000)  2 Mn 1.94
Ca (0.4922, 0.4665, 0.5000)  6 O 2.32-2.58
O (0.5723, 0.0223, 0.5000)  2 Mn 1.88
O (0.2824, 0.7179, 0.2877)  2 Mn 1.91
O (0.2120, 0.2130, 0.2846)  2 Mn 1.91
O (0.0685, 0.5004, 0.0000)  2 Mn 1.94

[3]
Below is a PBEsol-optimized structure of CaLaMnRuO6, with properties calculated at the SCAN level.

ΔE_f (raw)	-25.78	eV/f.u.

a b c (Å): 5.3764 5.4584 7.6411
angles (deg): 90.00 90.11 90.00
Last column: nearest neighbours and their distance in Å.
Positions (direct):
O (0.5714, 0.7699, 0.7565)  1 Mn 1.91, 1 Ru 2.01
O (0.2900, 0.4490, 0.5432)  1 Mn 1.93, 1 Ru 2.02
Mn (0.0007, 0.2494, 0.5008)  6 O 1.91-1.93
Ca (0.9888, 0.8015, 0.2503)  6 O 2.32-2.55
O (0.7052, 0.0325, 0.0392)  1 Mn 1.91, 1 Ru 2.01
O (0.8036, 0.5378, 0.4563)  1 Mn 1.93, 1 Ru 2.02
Mn (0.5007, 0.7506, 0.0008)  6 O 1.91-1.93
O (0.4152, 0.7367, 0.2434)  1 Mn 1.91, 1 Ru 2.01
O (0.0714, 0.2301, 0.2565)  1 Mn 1.91, 1 Ru 2.01
Ru (0.5008, 0.7483, 0.4990)  6 O 2.01-2.02
O (0.3036, 0.4622, 0.9563)  1 Mn 1.93, 1 Ru 2.02
O (0.9152, 0.2633, 0.7434)  1 Mn 1.91, 1 Ru 2.01
La (0.5075, 0.2894, 0.2496)  6 O 2.37-2.62
La (0.0075, 0.7106, 0.7496)  6 O 2.37-2.62
Ru (0.0008, 0.2517, 0.9990)  6 O 2.01-2.02
Ca (0.4888, 0.1985, 0.7503)  6 O 2.32-2.55
O (0.7900, 0.5510, 0.0432)  1 Mn 1.93, 1 Ru 2.02
O (0.2052, 0.9675, 0.5392)  1 Mn 1.91, 1 Ru 2.01
O (0.7168, 0.0435, 0.4619)  1 Mn 1.92, 1 Ru 2.01
O (0.2168, 0.9565, 0.9619)  1 Mn 1.92, 1 Ru 2.01

[4]
Below is a PBEsol-optimized structure of CaLaTiMnO6, with properties calculated at the SCAN level.

ΔE_f (raw)	-32.19	eV/f.u.

a b c (Å): 5.3822 5.3949 7.6055
angles (deg): 90.00 89.94 90.00
Last column: nearest neighbours and their distance in Å.
Positions (direct):
Ca (0.0062, 0.2157, 0.2507)  8 O 2.38-2.66
Ti (0.4998, 0.2496, 0.4993)  6 O 1.95-1.96
O (0.2128, 0.4688, 0.4658)  1 Mn 1.91, 1 Ti 1.96
Ca (0.5062, 0.7843, 0.7507)  8 O 2.38-2.66
O (0.9446, 0.7612, 0.2531)  1 Mn 1.91, 1 Ti 1.95
O (0.2749, 0.9681, 0.4709)  1 Mn 1.91, 1 Ti 1.95
O (0.2815, 0.9752, 0.0290)  1 Mn 1.91, 1 Ti 1.95
O (0.7749, 0.0319, 0.9709)  1 Mn 1.91, 1 Ti 1.95
O (0.4446, 0.2388, 0.7531)  1 Mn 1.91, 1 Ti 1.95
Mn (0.9997, 0.7487, 0.5004)  6 O 1.91-1.92
Mn (0.4997, 0.2513, 0.0004)  6 O 1.91-1.92
La (0.9961, 0.2736, 0.7494)  8 O 2.42-2.68
O (0.7815, 0.0248, 0.5290)  1 Mn 1.91, 1 Ti 1.95
O (0.5653, 0.2572, 0.2469)  1 Mn 1.91, 1 Ti 1.95
O (0.7191, 0.5355, 0.5344)  1 Mn 1.92, 1 Ti 1.96
O (0.2191, 0.4645, 0.0344)  1 Mn 1.92, 1 Ti 1.96
O (0.0653, 0.7428, 0.7469)  1 Mn 1.91, 1 Ti 1.95
La (0.4961, 0.7264, 0.2494)  8 O 2.42-2.68
O (0.7128, 0.5312, 0.9658)  1 Mn 1.91, 1 Ti 1.96
Ti (0.9998, 0.7504, 0.9993)  6 O 1.95-1.96

[5]
Below is a PBEsol-optimized structure of CaLa2Mo, with properties calculated at the SCAN level.

E_form	0.5346	eV/atom
excess energy over the best structure of this formula in the dataset	95	meV/atom

a b c (Å): 3.5808 3.5808 8.6753
angles (deg): 90.00 90.00 90.00
Last column: nearest neighbours and their distance in Å.
Positions (direct):
Mo (0.0000, 0.0000, 0.4628)  4 La 2.89, 4 Ca 3.21
La (0.5000, 0.5000, 0.3022)  4 Mo 2.89
La (0.0000, 0.0000, 0.0450)  8 La 3.37-3.58, 1 Mo 3.62
Ca (0.5000, 0.5000, 0.6900)  4 Mo 3.21, 1 La 3.36, 4 Ca 3.58

[6]
Below is a PBEsol-optimized structure of CaLa2Mo, with properties calculated at the SCAN level.

E_form	0.4393	eV/atom
excess energy over the best structure of this formula in the dataset	0	meV/atom

a b c (Å): 3.6099 5.4052 6.6872
angles (deg): 113.85 105.66 90.00
Last column: nearest neighbours and their distance in Å.
Positions (direct):
Ca (0.2053, 0.7052, 0.4106)  2 Mo 3.23, 6 La 3.49-3.57, 2 Ca 3.61
Mo (0.4758, 0.4759, 0.9516)  2 La 2.62
La (0.8131, 0.3130, 0.6261)  2 Mo 2.62
La (0.0058, 0.0059, 0.0117)  4 Mo 3.27, 4 La 3.52-3.61, 2 Ca 3.57

[7]
Below is a PBEsol-optimized structure of Ca4LaMo, with properties calculated at the SCAN level.

E_form	0.7904	eV/atom

a b c (Å): 6.6052 6.6052 6.6052
angles (deg): 60.00 60.00 60.00
Last column: nearest neighbours and their distance in Å.
Positions (direct):
Ca (0.8771, 0.3743, 0.3743)  6 Ca 3.28-3.32
Mo (0.0000, 0.0000, 0.0000)  12 Ca 3.87, 4 La 4.04
Ca (0.3743, 0.3743, 0.8771)  6 Ca 3.28-3.32
Ca (0.3743, 0.3743, 0.3743)  6 Ca 3.28-3.32
Ca (0.3743, 0.8771, 0.3743)  6 Ca 3.28-3.32
La (0.7500, 0.7500, 0.7500)  12 Ca 3.87, 4 Mo 4.04

[8]
Below is a PBEsol-optimized structure of CaLa2NiMo, with properties calculated at the SCAN level.

E_form	0.4585	eV/atom

a b c (Å): 4.6523 5.4559 5.4559
angles (deg): 90.00 90.00 90.00
Last column: nearest neighbours and their distance in Å.
Positions (direct):
La (0.0000, 0.5000, 0.0000)  2 Mo 2.73
La (0.0000, 0.0000, 0.5000)  2 Mo 2.73
Ca (0.5000, 0.5000, 0.5000)  8 La 3.59, 4 Ni 3.86
Ni (0.5000, 0.0000, 0.0000)  2 Mo 2.33
Mo (0.0000, 0.0000, 0.0000)  2 Ni 2.33

[9]
Below is a PBEsol-optimized structure of CaLaN3, with properties calculated at the SCAN level.

ΔE_f (raw)	1.75	eV/f.u.

a b c (Å): 4.3431 4.3431 4.3431
angles (deg): 90.00 90.00 90.00
Last column: nearest neighbours and their distance in Å.
Positions (direct):
La (0.0000, 0.0000, 0.0000)  6 N 2.17
Ca (0.5000, 0.5000, 0.5000)  12 N 3.07
N (0.0000, 0.5000, 0.0000)  2 La 2.17
N (0.0000, 0.0000, 0.5000)  2 La 2.17
N (0.5000, 0.0000, 0.0000)  2 La 2.17

[10]
Below is a PBEsol-optimized structure of NaCa2LaN, with properties calculated at the SCAN level.

ΔE_f (raw)	0.14	eV/f.u.

a b c (Å): 4.8707 4.8707 5.6212
angles (deg): 90.00 90.00 90.00
Last column: nearest neighbours and their distance in Å.
Positions (direct):
N (0.0000, 0.0000, 0.0000)  4 Ca 2.44
Ca (0.5000, 0.0000, 0.0000)  2 N 2.44
La (0.5000, 0.5000, 0.5000)  4 Na 3.44, 8 Ca 3.72
Ca (0.0000, 0.5000, 0.0000)  2 N 2.44
Na (0.0000, 0.0000, 0.5000)  2 N 2.81

[11]
Below is a PBEsol-optimized structure of CaLaTeN2, with properties calculated at the SCAN level.

ΔE_f (raw)	-0.54	eV/f.u.

a b c (Å): 4.3328 4.3328 6.5156
angles (deg): 90.00 90.00 90.00
Last column: nearest neighbours and their distance in Å.
Positions (direct):
Te (0.0000, 0.0000, 0.5000)  4 Ca 3.06, 2 La 3.26
N (0.5000, 0.0000, 0.0000)  2 La 2.17
La (0.0000, 0.0000, 0.0000)  4 N 2.17
N (0.0000, 0.5000, 0.0000)  2 La 2.17
Ca (0.5000, 0.5000, 0.5000)  4 Te 3.06

[12]
Below is a PBEsol-optimized structure of NaCa2LaSb, with properties calculated at the SCAN level.

ΔE_f (raw)	4.44	eV/f.u.

a b c (Å): 5.5410 5.7135 5.7135
angles (deg): 90.00 90.00 90.00
Last column: nearest neighbours and their distance in Å.
Positions (direct):
Ca (0.0000, 0.5000, 0.0000)  2 La 2.86
Ca (0.0000, 0.0000, 0.5000)  2 La 2.86
La (0.0000, 0.0000, 0.0000)  2 Na 2.77, 4 Ca 2.86
Na (0.5000, 0.0000, 0.0000)  2 La 2.77
Sb (0.5000, 0.5000, 0.5000)  8 Ca 3.98, 4 Na 4.04

Table of density (g cm⁻³), in record order: 6.09, 5.26, 6.38, 5.68, 6.18, 6.03, 3.22, 5.67, 4.48, 3.19, 4.54, 3.34
Table of D(E_F) (states/eV per atom), in record order: 0.000, 0.108, 0.387, 0.223, 1.162, 0.985, 1.303, 0.847, 0.893, 0.741, 0.551, 0.770
Table of energy (hartree per atom), in record order: -0.676, -0.507, -0.621, -0.576, -1.182, -1.185, -0.685, -1.063, -0.580, -0.557, -0.802, -0.731